# 1
Computed, not measured: Sr3LiBi at its PBEsol-relaxed geometry at the SCAN level of DFT.

Cell lengths 5.7928, 5.7928, 5.7928 Å; angles 90.00, 90.00, 90.00 degrees
Atoms (fractional coordinates):
Sr1 0.5000 0.0000 0.0000
Sr2 0.0000 0.5000 0.0000
Sr3 0.0000 0.0000 0.5000
Bi1 0.5000 0.5000 0.5000
Li1 0.0000 0.0000 0.0000

The formation energy comes out at 0.01 eV per atom. Its space group is Pm-3m, No. 221. The value obtained for the total magnetic moment is 0.00 μB per atom.

# 2
Computed, not measured: LiTcBi2 at its PBEsol-relaxed geometry at the SCAN level of DFT.

Cell lengths 6.7413, 7.1324, 6.7413 Å; angles 61.80, 90.00, 118.20 degrees
Atoms (fractional coordinates):
Li1 0.2500 0.5000 0.2500
Li2 0.5000 0.0000 0.5000
Bi1 0.8750 0.2500 0.6547
Bi2 0.3750 0.2500 0.0953
Bi3 0.6547 0.7500 0.3750
Bi4 0.0953 0.7500 0.8750
Tc1 0.7500 0.5000 0.7500
Tc2 0.0000 0.0000 0.0000

The formation energy comes out at 0.58 eV per atom. Its space group is I-42d, No. 122. The value obtained for the total magnetic moment is 0.00 μB per atom.

# 3
Computed, not measured: Li2TlBi at its PBEsol-relaxed geometry at the SCAN level of DFT.

Cell lengths 4.9896, 4.9896, 4.9896 Å; angles 60.00, 60.00, 60.00 degrees
Atoms (fractional coordinates):
Tl1 0.0000 0.0000 0.0000
Li1 0.2500 0.2500 0.2500
Li2 0.7500 0.7500 0.7500
Bi1 0.5000 0.5000 0.5000

The formation energy comes out at -0.43 eV per atom. Its space group is Fm-3m, No. 225. The value obtained for the total magnetic moment is 0.00 μB per atom.

# 4
Computed, not measured: Li3YBi at its PBEsol-relaxed geometry at the SCAN level of DFT.

Cell lengths 5.0081, 5.0081, 5.0081 Å; angles 90.00, 90.00, 90.00 degrees
Site moments in Bohr magnetons follow the coordinates.
Atoms (fractional coordinates):
Y1 0.5000 0.5000 0.5000  0.06
Bi1 0.0000 0.0000 0.0000  -0.01
Li1 0.5000 0.0000 0.0000  0.00
Li2 0.0000 0.0000 0.5000  0.00
Li3 0.0000 0.5000 0.0000  0.00

The formation energy comes out at 0.06 eV per atom. Its space group is Pm-3m, No. 221. The value obtained for the total magnetic moment is 0.03 μB per atom.

# 5
Computed, not measured: Lu5Ni2Bi at its PBEsol-relaxed geometry at the SCAN level of DFT.

Cell lengths 7.3683, 7.3683, 8.4154 Å; angles 115.96, 115.96, 90.00 degrees
Atoms (fractional coordinates):
Ni1 0.8678 0.3678 0.0000
Ni2 0.3678 0.1322 0.0000
Ni3 0.1322 0.6322 0.0000
Ni4 0.6322 0.8678 0.0000
Lu1 0.5000 0.5000 0.0000
Lu2 0.0239 0.2111 0.7350
Lu3 0.2111 0.7111 0.7350
Lu4 0.4761 0.9761 0.2650
Lu5 0.0000 0.0000 0.0000
Lu6 0.9761 0.7889 0.2650
Lu7 0.7889 0.2889 0.2650
Lu8 0.7111 0.5239 0.7350
Lu9 0.2889 0.4761 0.2650
Lu10 0.5239 0.0239 0.7350
Bi1 0.2500 0.2500 0.5000
Bi2 0.7500 0.7500 0.5000

The formation energy comes out at -0.55 eV per atom. Its space group is I4/mcm, No. 140. The value obtained for the total magnetic moment is 0.00 μB per atom.

# 6
Computed, not measured: Lu5BiPd2 at its PBEsol-relaxed geometry at the SCAN level of DFT.

Cell lengths 7.5429, 8.5201, 7.5429 Å; angles 63.73, 90.00, 116.27 degrees
Atoms (fractional coordinates):
Pd1 0.3623 0.0000 0.1377
Pd2 0.6377 0.0000 0.8623
Pd3 0.1377 0.0000 0.6377
Pd4 0.8623 0.0000 0.3623
Lu1 0.4858 0.2800 0.7058
Lu2 0.2942 0.2800 0.2058
Lu3 0.2058 0.7200 0.9858
Lu4 0.5000 0.0000 0.5000
Lu5 0.5142 0.7200 0.2942
Lu6 0.9858 0.2800 0.5142
Lu7 0.7058 0.7200 0.7942
Lu8 0.7942 0.2800 0.0142
Lu9 0.0142 0.7200 0.4858
Lu10 0.0000 0.0000 0.0000
Bi1 0.2500 0.5000 0.7500
Bi2 0.7500 0.5000 0.2500

The formation energy comes out at -0.82 eV per atom. Its space group is I4/mcm, No. 140. The value obtained for the total magnetic moment is 0.00 μB per atom.

Number 1: uncorrected energy -29.545 eV/atom. Number 2: uncorrected energy -48.073 eV/atom. Number 3: uncorrected energy -39.361 eV/atom. Number 4: uncorrected energy -22.660 eV/atom. Number 5: uncorrected energy -49.003 eV/atom. Number 6: uncorrected energy -53.428 eV/atom.